First-principles (PBE) data for a relaxed structure of BeFeOs2, as listed in Alexandria.

* crystal system: orthorhombic
* energy of formation: 0.35 eV/atom
* size of the total moment: 4.793 μB/cell
* density of states at the Fermi level: 8.0 states/eV/cell
* calculated total energy: -8.3111 eV/atom

CIF file:
```
data_BeFeOs2
_symmetry_space_group_name_H-M 'C m m 2'
_symmetry_Int_Tables_number 35
_symmetry_space_group_name_Hall 'C 2 -2'
_cell_length_a 2.7624
_cell_length_b 4.4653
_cell_length_c 8.2849
_cell_angle_alpha 90.00
_cell_angle_beta 90.00
_cell_angle_gamma 90.00
loop_
_atom_site_label
_atom_site_fract_x
_atom_site_fract_y
_atom_site_fract_z
_atom_site_occupancy
Be1 0.0000 0.0000 0.0000 1
Fe1 0.0000 0.5000 0.2217 1
Os1 0.0000 0.0000 0.4818 1
Os2 0.0000 0.5000 0.7676 1
```

=====

First-principles (PBE) data for a relaxed structure of BeFeOs2, as listed in Alexandria.

* crystal system: tetragonal
* energy of formation: 0.13 eV/atom
* size of the total moment: 4.418 μB/cell
* density of states at the Fermi level: 7.4 states/eV/cell
* calculated total energy: -8.5314 eV/atom

CIF file:
```
data_BeFeOs2
_symmetry_space_group_name_H-M 'I -4 m 2'
_symmetry_Int_Tables_number 119
_symmetry_space_group_name_Hall 'I -4 -2'
_cell_length_a 3.6000
_cell_length_b 3.6000
_cell_length_c 7.6504
_cell_angle_alpha 90.00
_cell_angle_beta 90.00
_cell_angle_gamma 90.00
loop_
_atom_site_label
_atom_site_fract_x
_atom_site_fract_y
_atom_site_fract_z
_atom_site_occupancy
Be1 0.0000 0.0000 0.0000 1
Fe1 0.0000 0.5000 0.7500 1
Os1 0.0000 0.0000 0.5000 1
Os2 0.0000 0.5000 0.2500 1
```

=====

First-principles (PBE) data for a relaxed structure of Be2FeOs, as listed in Alexandria.

* crystal system: tetragonal
* energy of formation: 0.33 eV/atom
* size of the total moment: 10.821 μB/cell
* density of states at the Fermi level: 11.3 states/eV/cell
* calculated total energy: -6.4581 eV/atom

CIF file:
```
data_Be2FeOs
_symmetry_space_group_name_H-M 'I -4 2 d'
_symmetry_Int_Tables_number 122
_symmetry_space_group_name_Hall 'I -4 2bw'
_cell_length_a 5.9514
_cell_length_b 5.9514
_cell_length_c 4.9960
_cell_angle_alpha 90.00
_cell_angle_beta 90.00
_cell_angle_gamma 90.00
loop_
_atom_site_label
_atom_site_fract_x
_atom_site_fract_y
_atom_site_fract_z
_atom_site_occupancy
Be1 0.2385 0.7500 0.1250 1
Fe1 0.0000 0.0000 0.0000 1
Os1 0.0000 0.0000 0.5000 1
```

=====

First-principles (PBE) data for a relaxed structure of Be2FeOs, as listed in Alexandria.

* crystal system: trigonal
* energy of formation: 0.09 eV/atom
* size of the total moment: 5.032 μB/cell
* density of states at the Fermi level: 8.1 states/eV/cell
* calculated total energy: -6.6964 eV/atom

CIF file:
```
data_Be2FeOs
_symmetry_space_group_name_H-M 'R -3 m'
_symmetry_Int_Tables_number 166
_symmetry_space_group_name_Hall '-R 3 2"'
_cell_length_a 2.6144
_cell_length_b 2.6144
_cell_length_c 22.5710
_cell_angle_alpha 90.00
_cell_angle_beta 90.00
_cell_angle_gamma 120.00
loop_
_atom_site_label
_atom_site_fract_x
_atom_site_fract_y
_atom_site_fract_z
_atom_site_occupancy
Be1 0.0000 0.0000 0.2480 1
Fe1 0.0000 0.0000 0.5000 1
Os1 0.0000 0.0000 0.0000 1
```

=====

First-principles (PBE) data for a relaxed structure of BeFeOs2, as listed in Alexandria.

* crystal system: trigonal
* energy of formation: 0.09 eV/atom
* size of the total moment: 0.004 μB/cell
* density of states at the Fermi level: 8.5 states/eV/cell
* calculated total energy: -8.5725 eV/atom

CIF file:
```
data_BeFeOs2
_symmetry_space_group_name_H-M 'R 3 m'
_symmetry_Int_Tables_number 160
_symmetry_space_group_name_Hall 'R 3 -2"'
_cell_length_a 2.6623
_cell_length_b 2.6623
_cell_length_c 24.0477
_cell_angle_alpha 90.00
_cell_angle_beta 90.00
_cell_angle_gamma 120.00
loop_
_atom_site_label
_atom_site_fract_x
_atom_site_fract_y
_atom_site_fract_z
_atom_site_occupancy
Be1 0.0000 0.0000 0.0000 1
Fe1 0.0000 0.0000 0.8338 1
Os1 0.0000 0.0000 0.4164 1
Os2 0.0000 0.0000 0.5842 1
```

=====

First-principles (PBE) data for a relaxed structure of Be2FeOs, as listed in Alexandria.

* crystal system: monoclinic
* energy of formation: 0.02 eV/atom
* size of the total moment: 1.664 μB/cell
* density of states at the Fermi level: 2.5 states/eV/cell
* calculated total energy: -6.7712 eV/atom

CIF file:
```
data_Be2FeOs
_symmetry_space_group_name_H-M 'P 1 2/m 1'
_symmetry_Int_Tables_number 10
_symmetry_space_group_name_Hall '-P 2y'
_cell_length_a 2.5069
_cell_length_b 3.7032
_cell_length_c 4.7045
_cell_angle_alpha 90.00
_cell_angle_beta 98.17
_cell_angle_gamma 90.00
loop_
_atom_site_label
_atom_site_fract_x
_atom_site_fract_y
_atom_site_fract_z
_atom_site_occupancy
Be1 0.2059 0.0000 0.2519 1
Fe1 0.0000 0.5000 0.5000 1
Os1 0.5000 0.5000 0.0000 1
```

=====

First-principles (PBE) data for a relaxed structure of BeFeOs2, as listed in Alexandria.

* crystal system: orthorhombic
* energy of formation: 0.04 eV/atom
* size of the total moment: 0.002 μB/cell
* density of states at the Fermi level: 6.2 states/eV/cell
* calculated total energy: -8.6192 eV/atom

CIF file:
```
data_BeFeOs2
_symmetry_space_group_name_H-M 'A m m 2'
_symmetry_Int_Tables_number 38
_symmetry_space_group_name_Hall 'A 2 -2'
_cell_length_a 3.8525
_cell_length_b 2.6625
_cell_length_c 9.2732
_cell_angle_alpha 90.00
_cell_angle_beta 90.00
_cell_angle_gamma 90.00
loop_
_atom_site_label
_atom_site_fract_x
_atom_site_fract_y
_atom_site_fract_z
_atom_site_occupancy
Be1 0.0000 0.0000 0.0000 1
Fe1 0.5000 0.0000 0.1205 1
Os1 0.0000 0.0000 0.7399 1
Os2 0.5000 0.0000 0.3924 1
```

=====

First-principles (PBE) data for a relaxed structure of BeFeOs2, as listed in Alexandria.

* crystal system: orthorhombic
* energy of formation: 0.22 eV/atom
* size of the total moment: 6.265 μB/cell
* density of states at the Fermi level: 7.7 states/eV/cell
* calculated total energy: -8.4382 eV/atom

CIF file:
```
data_BeFeOs2
_symmetry_space_group_name_H-M 'C m m m'
_symmetry_Int_Tables_number 65
_symmetry_space_group_name_Hall '-C 2 2'
_cell_length_a 2.7935
_cell_length_b 4.4701
_cell_length_c 8.1822
_cell_angle_alpha 90.00
_cell_angle_beta 90.00
_cell_angle_gamma 90.00
loop_
_atom_site_label
_atom_site_fract_x
_atom_site_fract_y
_atom_site_fract_z
_atom_site_occupancy
Be1 0.0000 0.0000 0.0000 1
Fe1 0.0000 0.0000 0.5000 1
Os1 0.0000 0.5000 0.2350 1
```

=====

Q: Which of these has the highest density of states at the Fermi level?
A: number 3

=====

Q: Which of these has the lowest density of states at the Fermi level?
A: number 6

=====

Q: The lowest size of the total moment belongs to which entry?
A: number 7